Record 1
{"formula": "Pr3Dy4Y8", "functional": "PBE", "state": "relaxed", "cell": [[6.7595, -6.4429, 0.0000], [6.7595, 6.4429, 0.0000], [-3.3919, 0.0000, 5.8744]], "species": ["Pr", "Pr", "Pr", "Dy", "Dy", "Dy", "Dy", "Y", "Y", "Y", "Y", "Y", "Y", "Y", "Y"], "fractional_positions": [[0.0000, 0.0000, 0.0000], [0.0000, 0.5000, 0.5000], [0.5000, 0.0000, 0.5000], [0.0000, 0.5000, 0.0000], [0.5000, 0.0000, 0.0000], [0.5000, 0.5000, 0.0000], [0.5000, 0.5000, 0.5000], [0.1431, 0.8569, 0.5000], [0.2314, 0.2314, 0.5038], [0.2419, 0.2419, 0.9938], [0.2487, 0.7513, 0.0000], [0.7513, 0.2487, 0.0000], [0.7581, 0.7581, 0.0062], [0.7686, 0.7686, 0.4962], [0.8569, 0.1431, 0.5000]], "space_group": "C2/m", "formation_energy_ev_per_atom": 0.389, "crystal_system": "monoclinic", "m_tot_mub_per_cell": 0.0, "n_ef_per_ev_atom": 2.040}

---

Record 2
{"formula": "Pr2Dy3Y8", "functional": "PBE", "state": "relaxed", "cell": [[11.7952, 0.0000, 0.0000], [0.0000, 20.8165, 0.0000], [0.0000, 0.0000, 3.5303]], "species": ["Pr", "Pr", "Pr", "Pr", "Dy", "Dy", "Dy", "Dy", "Dy", "Dy", "Y", "Y", "Y", "Y", "Y", "Y", "Y", "Y", "Y", "Y", "Y", "Y", "Y", "Y", "Y", "Y"], "fractional_positions": [[0.1790, 0.0992, 0.0000], [0.3210, 0.5992, 0.0000], [0.6790, 0.4008, 0.0000], [0.8210, 0.9008, 0.0000], [0.0000, 0.0000, 0.5000], [0.1447, 0.7012, 0.5000], [0.3553, 0.2012, 0.5000], [0.5000, 0.5000, 0.5000], [0.6447, 0.7988, 0.5000], [0.8553, 0.2988, 0.5000], [0.0455, 0.5716, 0.0000], [0.0550, 0.8411, 0.5000], [0.1291, 0.2867, 0.0000], [0.2081, 0.4467, 0.5000], [0.2919, 0.9467, 0.5000], [0.3709, 0.7867, 0.0000], [0.4450, 0.3411, 0.5000], [0.4545, 0.0716, 0.0000], [0.5455, 0.9284, 0.0000], [0.5550, 0.6589, 0.5000], [0.6291, 0.2133, 0.0000], [0.7081, 0.0533, 0.5000], [0.7919, 0.5533, 0.5000], [0.8709, 0.7133, 0.0000], [0.9450, 0.1589, 0.5000], [0.9545, 0.4284, 0.0000]], "space_group": "Pbam", "e_above_lowest_polymorph_mev_per_atom": 0, "formation_energy_ev_per_atom": 0.148, "crystal_system": "orthorhombic", "m_tot_mub_per_cell": 0.0, "n_ef_per_ev_atom": 1.549}

---

Record 3
{"formula": "PrDy12Y7", "functional": "PBE", "state": "relaxed", "cell": [[-5.6405, 5.6405, 5.6405], [5.6405, -5.6405, 5.6405], [5.6405, 5.6405, -5.6405]], "species": ["Pr", "Dy", "Dy", "Dy", "Dy", "Dy", "Dy", "Dy", "Dy", "Dy", "Dy", "Dy", "Dy", "Y", "Y", "Y", "Y", "Y", "Y", "Y"], "fractional_positions": [[0.0000, 0.0000, 0.0000], [0.0000, 0.2549, 0.7451], [0.0000, 0.7451, 0.2549], [0.2549, 0.0000, 0.7451], [0.2549, 0.2549, 0.5098], [0.2549, 0.5098, 0.2549], [0.2549, 0.7451, 0.0000], [0.4902, 0.7451, 0.7451], [0.5098, 0.2549, 0.2549], [0.7451, 0.0000, 0.2549], [0.7451, 0.2549, 0.0000], [0.7451, 0.4902, 0.7451], [0.7451, 0.7451, 0.4902], [0.0000, 0.0000, 0.5000], [0.0000, 0.5000, 0.0000], [0.0000, 0.5000, 0.5000], [0.5000, 0.0000, 0.0000], [0.5000, 0.0000, 0.5000], [0.5000, 0.5000, 0.0000], [0.5000, 0.5000, 0.5000]], "space_group": "Im-3m", "e_above_lowest_polymorph_mev_per_atom": 467, "formation_energy_ev_per_atom": 0.715, "crystal_system": "cubic", "m_tot_mub_per_cell": 0.0, "n_ef_per_ev_atom": 1.323}